Below is crystalline La3GaP2Pt9 at its relaxed geometry, with properties calculated at the PBE level.

DFT formation energy in eV per atom: -0.7997
Final energy in eV per atom: -6.3327
Calculated density in g/cm3: 12.21
Magnetization in μB per cell: 0.0

```
data_La3GaP2Pt9
_symmetry_space_group_name_H-M 'P -3 m 1'
_symmetry_Int_Tables_number 164
_symmetry_space_group_name_Hall '-P 3 2"'
_cell_length_a 6.3995
_cell_length_b 6.3995
_cell_length_c 8.8319
_cell_angle_alpha 90.00
_cell_angle_beta 90.00
_cell_angle_gamma 120.00
loop_
_atom_site_label
_atom_site_fract_x
_atom_site_fract_y
_atom_site_fract_z
La1 0.0000 0.0000 0.0000
La2 0.3333 0.6667 0.6692
Ga1 0.0000 0.0000 0.5000
P1 0.3333 0.6667 0.1783
Pt1 0.0000 0.5000 0.0000
Pt2 0.1476 0.2952 0.2840
```

Below is crystalline Tm2SnH at its relaxed geometry, with properties calculated at the PBE level.

Final energy in eV per atom: -4.7132
Offset from the most stable computed form in meV per atom: 0
Calculated density in g/cm3: 9.19
Magnetization in μB per cell: 0.0

```
data_Tm2SnH
_symmetry_space_group_name_H-M 'P 4/n m m'
_symmetry_Int_Tables_number 129
_cell_length_a 4.4544
_cell_length_b 4.4544
_cell_length_c 8.3311
_cell_angle_alpha 90.00
_cell_angle_beta 90.00
_cell_angle_gamma 90.00
loop_
_symmetry_equiv_pos_as_xyz
'x,y,z'
'-x,-y,-z'
'-y+1/2,x,z'
'y+1/2,-x,-z'
'-x+1/2,-y+1/2,z'
'x+1/2,y+1/2,-z'
'y,-x+1/2,z'
'-y,x+1/2,-z'
'x+1/2,-y,-z'
'-x+1/2,y,z'
'-y,-x,-z'
'y,x,z'
'-x,y+1/2,-z'
'x,-y+1/2,z'
'y+1/2,x+1/2,-z'
'-y+1/2,-x+1/2,z'
loop_
_atom_site_label
_atom_site_fract_x
_atom_site_fract_y
_atom_site_fract_z
Tm1 0.2500 0.2500 0.1527
Tm2 0.2500 0.7500 0.5000
Sn1 0.2500 0.2500 0.7823
H1 0.2500 0.2500 0.4203
```

Below is crystalline Sm2MgS at its relaxed geometry, with properties calculated at the PBE level.

Final energy in eV per atom: -4.4729
Offset from the most stable computed form in meV per atom: 244
Calculated density in g/cm3: 4.81
Magnetization in μB per cell: 0.0

```
data_Sm2MgS
_symmetry_space_group_name_H-M 'R -3 m'
_symmetry_Int_Tables_number 166
_symmetry_space_group_name_Hall '-R 3 2"'
_cell_length_a 3.7760
_cell_length_b 3.7760
_cell_length_c 29.9229
_cell_angle_alpha 90.00
_cell_angle_beta 90.00
_cell_angle_gamma 120.00
loop_
_atom_site_label
_atom_site_fract_x
_atom_site_fract_y
_atom_site_fract_z
Sm1 0.0000 0.0000 0.1112
Mg1 0.0000 0.0000 0.0000
S1 0.0000 0.0000 0.5000
```

Below is crystalline AcPr6Sm at its relaxed geometry, with properties calculated at the PBE level.

DFT formation energy in eV per atom: 0.0180
Final energy in eV per atom: -4.6700
Calculated density in g/cm3: 6.89
Magnetization in μB per cell: 0.0

```
data_AcPr6Sm
_symmetry_space_group_name_H-M 'P 4/m m m'
_symmetry_Int_Tables_number 123
_symmetry_space_group_name_Hall '-P 4 2'
_cell_length_a 5.2794
_cell_length_b 5.2794
_cell_length_c 10.5786
_cell_angle_alpha 90.00
_cell_angle_beta 90.00
_cell_angle_gamma 90.00
loop_
_atom_site_label
_atom_site_fract_x
_atom_site_fract_y
_atom_site_fract_z
Ac1 0.0000 0.0000 0.0000
Pr1 0.0000 0.5000 0.2564
Pr2 0.5000 0.5000 0.0000
Pr3 0.5000 0.5000 0.5000
Sm1 0.0000 0.0000 0.5000
```